(1)
A plane-wave DFT calculation with PBE-GGA was carried out for a geometry-optimized Ta2ReAu structure.

Values from the calculation:
Energy of formation from the pure elements   -0.003 eV per atom
Offset from the most stable computed form   0.104 eV per atom

```
data_Ta2ReAu
_symmetry_space_group_name_H-M 'P 1 m 1'
_symmetry_Int_Tables_number 6
_symmetry_space_group_name_Hall 'P -2y'
_cell_length_a 2.8528
_cell_length_b 4.6953
_cell_length_c 5.1896
_cell_angle_alpha 90.00
_cell_angle_beta 96.88
_cell_angle_gamma 90.00
loop_
_atom_site_label
_atom_site_fract_x
_atom_site_fract_y
_atom_site_fract_z
_atom_site_occupancy
Ta1 0.0000 0.0000 0.0000 1
Ta2 0.2346 0.5000 0.6768 1
Re1 0.5881 0.0000 0.5176 1
Au1 0.5890 0.5000 0.1905 1
```

(2)
A plane-wave DFT calculation with PBE-GGA was carried out for a geometry-optimized Ta2ReAu structure.

Values from the calculation:
Energy of formation from the pure elements   0.073 eV per atom
Offset from the most stable computed form   0.180 eV per atom

```
data_Ta2ReAu
_symmetry_space_group_name_H-M 'C m m 2'
_symmetry_Int_Tables_number 35
_symmetry_space_group_name_Hall 'C 2 -2'
_cell_length_a 3.2665
_cell_length_b 4.5731
_cell_length_c 9.2406
_cell_angle_alpha 90.00
_cell_angle_beta 90.00
_cell_angle_gamma 90.00
loop_
_atom_site_label
_atom_site_fract_x
_atom_site_fract_y
_atom_site_fract_z
_atom_site_occupancy
Ta1 0.0000 0.0000 0.0000 1
Ta2 0.0000 0.5000 0.2577 1
Re1 0.0000 0.0000 0.4882 1
Au1 0.0000 0.5000 0.7467 1
```

Across the entries above, DOS(E_F) takes the values 2.34, 5.64 states/eV per cell, respectively.
Across the entries above, volume takes the values 69, 138 Å³ per cell, respectively.